Entry 1:
A geometry-optimized AcPr3Ni structure, computed with PBE-GGA.

Structure (CIF):
```
data_AcPr3Ni
_chemical_formula_sum 'Ac2 Pr6 Ni2'
_symmetry_space_group_name_H-M 'P 63/m m c'
_symmetry_Int_Tables_number 194
_symmetry_space_group_name_Hall '-P 6c 2c'
_cell_length_a 7.8803
_cell_length_b 7.8803
_cell_length_c 6.2772
_cell_angle_alpha 90.00
_cell_angle_beta 90.00
_cell_angle_gamma 120.00
loop_
_atom_site_label
_atom_site_fract_x
_atom_site_fract_y
_atom_site_fract_z
Ac1 0.3333 0.6667 0.2500
Pr1 0.1732 0.3465 0.7500
Ni1 0.0000 0.0000 0.0000
```

Properties
For the magnetization, the calculation gives 0.000 μB/f.u. The calculation puts the calculated total energy at -4.88 eV/atom. The value obtained for the distance to the lowest polymorph of the same formula is 56 meV per atom.



Entry 2:
A geometry-optimized Ac6PrNi2 structure, computed with PBE-GGA.

Structure (CIF):
```
data_Ac6PrNi2
_chemical_formula_sum 'Ac24 Pr4 Ni8'
_symmetry_space_group_name_H-M 'C 1 2/c 1'
_symmetry_Int_Tables_number 15
_symmetry_space_group_name_Hall '-C 2yc'
_cell_length_a 15.7909
_cell_length_b 8.8843
_cell_length_c 10.3302
_cell_angle_alpha 90.00
_cell_angle_beta 116.15
_cell_angle_gamma 90.00
loop_
_atom_site_label
_atom_site_fract_x
_atom_site_fract_y
_atom_site_fract_z
Ac1 0.1220 0.2157 0.1532
Ac2 0.1470 0.1989 0.5401
Ac3 0.1515 0.4130 0.8667
Pr1 0.0000 0.0823 0.7500
Ni1 0.2061 0.0631 0.8338
```

Properties
For the magnetization, the calculation gives 0.000 μB/f.u. The calculation puts the calculated total energy at -4.56 eV/atom.



Entry 3:
A geometry-optimized AcPr2Ni2 structure, computed with PBE-GGA.

Structure (CIF):
```
data_AcPr2Ni2
_chemical_formula_sum 'Ac2 Pr4 Ni4'
_symmetry_space_group_name_H-M 'C m m m'
_symmetry_Int_Tables_number 65
_symmetry_space_group_name_Hall '-C 2 2'
_cell_length_a 4.5318
_cell_length_b 14.9441
_cell_length_c 3.9353
_cell_angle_alpha 90.00
_cell_angle_beta 90.00
_cell_angle_gamma 90.00
loop_
_atom_site_label
_atom_site_fract_x
_atom_site_fract_y
_atom_site_fract_z
Ac1 0.0000 0.0000 0.0000
Pr1 0.0000 0.3441 0.5000
Ni1 0.0000 0.2037 0.0000
```

Properties
For the magnetization, the calculation gives 0.000 μB/f.u. The calculation puts the calculated total energy at -5.25 eV/atom. The value obtained for the distance to the lowest polymorph of the same formula is 0 meV per atom.